Entry 1:
DFT (GGA-PBE) results for a relaxed structure of CsSr3Hf.

Unit cell a=6.676 b=6.676 c=6.676 alpha=90.00 beta=90.00 gamma=90.00
Each line ends with the local moment (μB).
Sites, in units of the cell vectors:
Cs1 0.500 0.500 0.500  0.00
Sr1 0.000 0.500 0.000  0.08
Sr2 0.000 0.000 0.500  0.08
Sr3 0.500 0.000 0.000  0.08
Hf1 0.000 0.000 0.000  1.07

Computed properties:
Its formation energy is 3.63 eV/f.u. The density of states at the Fermi level comes out at 5.7 states/eV per cell. For the relative energy among the computed polymorphs, the calculation gives 0 meV/atom. The calculated total energy is -2.444 eV/atom.

---

Entry 2:
DFT (GGA-PBE) results for a relaxed structure of Cs3SrHf.

Unit cell a=8.215 b=8.215 c=8.215 alpha=90.00 beta=90.00 gamma=90.00
Each line ends with the local moment (μB).
Sites, in units of the cell vectors:
Cs1 0.000 0.500 0.000  -0.01
Cs2 0.000 0.000 0.500  -0.01
Cs3 0.500 0.000 0.000  -0.01
Sr1 0.000 0.000 0.000  -0.03
Hf1 0.500 0.500 0.500  -0.05

Computed properties:
Its formation energy is 7.82 eV/f.u. The density of states at the Fermi level comes out at 23.1 states/eV per cell. The calculated total energy is -1.276 eV/atom.

---

Entry 3:
DFT (GGA-PBE) results for a relaxed structure of CsSrHf3.

Unit cell a=5.419 b=5.419 c=5.419 alpha=90.00 beta=90.00 gamma=90.00
Sites, in units of the cell vectors:
Cs1 0.000 0.000 0.000
Sr1 0.500 0.500 0.500
Hf1 0.000 0.500 0.000
Hf2 0.000 0.000 0.500
Hf3 0.500 0.000 0.000

Computed properties:
Its formation energy is 9.52 eV/f.u. The density of states at the Fermi level comes out at 8.6 states/eV per cell. For the relative energy among the computed polymorphs, the calculation gives 0 meV/atom. The calculated total energy is -4.575 eV/atom.

---

Entry 4:
DFT (GGA-PBE) results for a relaxed structure of CsSr3Hf.

Unit cell a=6.079 b=6.079 c=6.079 alpha=90.00 beta=90.00 gamma=90.00
Each line ends with the local moment (μB).
Sites, in units of the cell vectors:
Cs1 0.000 0.000 0.000  -0.02
Sr1 0.000 0.500 0.000  -0.01
Sr2 0.000 0.000 0.500  -0.01
Sr3 0.500 0.000 0.000  0.00
Hf1 0.500 0.500 0.500  0.48

Computed properties:
Its formation energy is 7.42 eV/f.u. The density of states at the Fermi level comes out at 9.3 states/eV per cell. For the relative energy among the computed polymorphs, the calculation gives 757 meV/atom. The calculated total energy is -1.687 eV/atom.

---

Entry 5:
DFT (GGA-PBE) results for a relaxed structure of Cs3Sr2HfTe6.

Unit cell a=8.121 b=8.121 c=9.292 alpha=98.42 beta=98.42 gamma=119.90
Sites, in units of the cell vectors:
Cs1 0.176 0.824 0.500
Cs2 0.824 0.176 0.500
Cs3 0.500 0.500 0.500
Sr1 0.335 0.665 0.000
Sr2 0.665 0.335 0.000
Hf1 0.000 0.000 0.000
Te1 0.937 0.640 0.810
Te2 0.771 0.771 0.194
Te3 0.063 0.360 0.190
Te4 0.640 0.937 0.810
Te5 0.229 0.229 0.806
Te6 0.360 0.063 0.190

Computed properties:
The density of states at the Fermi level comes out at 11.5 states/eV per cell. The calculated total energy is -4.060 eV/atom. The uncorrected formation energy comes out at -1.166 eV per atom.

---

Entry 6:
DFT (GGA-PBE) results for a relaxed structure of CsHfTa3.

Unit cell a=5.184 b=5.184 c=5.184 alpha=90.00 beta=90.00 gamma=90.00
Sites, in units of the cell vectors:
Cs1 0.500 0.500 0.500
Hf1 0.000 0.000 0.000
Ta1 0.000 0.500 0.000
Ta2 0.000 0.000 0.500
Ta3 0.500 0.000 0.000

Computed properties:
Its formation energy is 10.75 eV/f.u. The density of states at the Fermi level comes out at 7.1 states/eV per cell. For the relative energy among the computed polymorphs, the calculation gives 0 meV/atom. The calculated total energy is -7.122 eV/atom.

---

Entry 7:
DFT (GGA-PBE) results for a relaxed structure of CsHf3Ta.

Unit cell a=5.344 b=5.344 c=5.344 alpha=90.00 beta=90.00 gamma=90.00
Sites, in units of the cell vectors:
Cs1 0.500 0.500 0.500
Hf1 0.000 0.500 0.000
Hf2 0.000 0.000 0.500
Hf3 0.500 0.000 0.000
Ta1 0.000 0.000 0.000

Computed properties:
Its formation energy is 6.29 eV/f.u. The density of states at the Fermi level comes out at 8.7 states/eV per cell. For the relative energy among the computed polymorphs, the calculation gives 0 meV/atom. The calculated total energy is -7.256 eV/atom.

---

Entry 8:
DFT (GGA-PBE) results for a relaxed structure of CsHf3Ta.

Unit cell a=5.125 b=5.125 c=5.125 alpha=90.00 beta=90.00 gamma=90.00
Sites, in units of the cell vectors:
Cs1 0.000 0.000 0.000
Hf1 0.000 0.500 0.000
Hf2 0.000 0.000 0.500
Hf3 0.500 0.000 0.000
Ta1 0.500 0.500 0.500

Computed properties:
Its formation energy is 12.94 eV/f.u. The density of states at the Fermi level comes out at 9.2 states/eV per cell. For the relative energy among the computed polymorphs, the calculation gives 1331 meV/atom. The calculated total energy is -5.925 eV/atom.